# 1
First-principles (PBE) data for an optimized crystal structure of Ca2Pm2Hg3, as listed in the Alexandria database.

- formation energy from the elements (kcal/mol of atoms) = -8.7
- M_tot (Bohr magnetons per cell) = 0.00

Lattice parameters (Å, degrees): 9.177 9.177 9.177 33.75 33.75 33.75
Fractional positions:
Ca (0.125, 0.125, 0.125)
Ca (0.875, 0.875, 0.875)
Pm (0.376, 0.376, 0.376)
Pm (0.624, 0.624, 0.624)
Hg (0.255, 0.255, 0.255)
Hg (0.500, 0.500, 0.500)
Hg (0.745, 0.745, 0.745)

=====

# 2
First-principles (PBE) data for an optimized crystal structure of Zr2NbPtN, as listed in the Alexandria database.

- M_tot (Bohr magnetons per cell) = 0.00
- raw formation energy (eV per formula unit) = -4.88

Lattice parameters (Å, degrees): 4.502 4.502 4.139 90.00 90.00 90.00
Fractional positions:
Zr (0.000, 0.500, 0.000)
Zr (0.500, 0.000, 0.000)
Nb (0.000, 0.000, 0.500)
Pt (0.500, 0.500, 0.500)
N (0.000, 0.000, 0.000)

=====

# 3
First-principles (PBE) data for an optimized crystal structure of Pr5DyEr4, as listed in the Alexandria database.

- formation energy from the elements (kcal/mol of atoms) = 0.5
- M_tot (Bohr magnetons per cell) = 0.00
- energy relative to the lowest polymorph listed for this composition (eV/atom) = 0.000

Lattice parameters (Å, degrees): 9.538 9.538 10.226 105.94 105.94 21.88
Fractional positions:
Pr (0.000, 0.000, 0.000)
Pr (0.200, 0.200, 0.101)
Pr (0.400, 0.400, 0.694)
Pr (0.600, 0.600, 0.306)
Pr (0.800, 0.800, 0.899)
Dy (0.000, 0.000, 0.500)
Er (0.199, 0.199, 0.600)
Er (0.399, 0.399, 0.205)
Er (0.601, 0.601, 0.795)
Er (0.801, 0.801, 0.400)

=====

no.,Fermi-level density of states (states/eV/f.u.)
1,5.78
2,1.90
3,12.63